Record 1
VASP calculation (PBE-GGA) on a relaxed structure of Li2Ru2Au. Values from VASP.

- Calculated formation energy: 292 meV per atom

Quantum ESPRESSO input file:
```
&SYSTEM
  ibrav = 0, nat = 5, ntyp = 3
/
ATOMIC_SPECIES
Li 6.94 Li.upf
Ru 101.07 Ru.upf
Au 196.97 Au.upf
ATOMIC_POSITIONS angstrom
Li 0.000 0.000 8.824
Li 0.000 0.000 5.984
Ru 1.701 0.000 3.702
Ru 0.000 1.701 3.702
Au 0.000 0.000 0.000
CELL_PARAMETERS angstrom
-1.701 1.701 7.404
1.701 -1.701 7.404
1.701 1.701 -7.404
```

Record 2
VASP calculation (PBE-GGA) on a relaxed structure of LiRuAu2. Values from VASP.

- E above lowest polymorph: 221 meV/atom
- Calculated formation energy: 139 meV per atom

Quantum ESPRESSO input file:
```
&SYSTEM
  ibrav = 0, nat = 4, ntyp = 3
/
ATOMIC_SPECIES
Au 196.97 Au.upf
Li 6.94 Li.upf
Ru 101.07 Ru.upf
ATOMIC_POSITIONS angstrom
Au -5.052 -9.704 -1.818
Au -2.539 -4.916 -0.923
Li -3.796 -7.310 -1.370
Ru -1.265 -2.437 -0.457
CELL_PARAMETERS angstrom
-0.077 -4.169 -2.368
0.169 -4.786 0.241
-5.154 -0.791 0.299
```

Record 3
VASP calculation (PBE-GGA) on a relaxed structure of Li2RuAu. Values from VASP.

- E above lowest polymorph: 0 meV/atom
- Calculated formation energy: -67 meV per atom

Quantum ESPRESSO input file:
```
&SYSTEM
  ibrav = 0, nat = 4, ntyp = 3
/
ATOMIC_SPECIES
Au 196.97 Au.upf
Li 6.94 Li.upf
Ru 101.07 Ru.upf
ATOMIC_POSITIONS angstrom
Au 2.310 0.681 1.237
Li 9.225 2.718 4.868
Li 4.635 1.366 2.553
Ru 6.930 2.042 3.711
CELL_PARAMETERS angstrom
4.668 0.003 -0.001
3.924 2.528 -0.001
0.649 0.191 4.951
```

What is the formula in the second record? LiRuAu2

Among the records above, which one has the lowest calculated formation energy? Li2RuAu